Ca2AlBi: relaxed, GGA-PBEsol.

Results
- DFT formation energy: -0.4198 eV/atom

Cell lengths 5.3919, 5.3919, 5.3919 Å; angles 60.00, 60.00, 60.00 degrees
Last column: nearest neighbours and their distance in Å.
Positions (direct):
Ca: 0.2500 0.2500 0.2500  4 Al 3.30, 4 Bi 3.30
Ca: 0.7500 0.7500 0.7500  4 Bi 3.30, 4 Al 3.30
Al: 0.0000 0.0000 0.0000  8 Ca 3.30
Bi: 0.5000 0.5000 0.5000  8 Ca 3.30

***

Sr2CuReBi: relaxed, GGA-PBEsol.

Results
- DFT formation energy: 1.0460 eV/atom

Cell lengths 4.8231, 5.6559, 5.6559 Å; angles 90.00, 90.00, 90.00 degrees
Last column: nearest neighbours and their distance in Å.
Positions (direct):
Re: 0.5000 0.5000 0.5000  8 Sr 3.72, 4 Bi 4.00
Bi: 0.5000 0.0000 0.0000  2 Cu 2.41
Sr: 0.0000 0.5000 0.0000  2 Cu 2.83
Sr: 0.0000 0.0000 0.5000  2 Cu 2.83
Cu: 0.0000 0.0000 0.0000  2 Bi 2.41

***

Pr6Al3Fe11: relaxed, GGA-PBEsol.

Results
- DFT formation energy: -0.0928 eV/atom

Cell lengths 7.9618, 7.9618, 12.8320 Å; angles 108.07, 108.07, 90.00 degrees
Last column: nearest neighbours and their distance in Å.
Positions (direct):
Fe: 0.4806 0.2050 0.1856  7 Fe 2.46-2.56
Fe: 0.2897 0.5689 0.0021  9 Fe 2.36-2.56, 1 Al 2.59
Fe: 0.7050 0.9806 0.1856  7 Fe 2.46-2.56
Fe: 0.2050 0.7050 0.1856  7 Fe 2.46-2.56
Fe: 0.0689 0.7897 0.0021  9 Fe 2.36-2.56, 1 Al 2.59
Fe: 0.5689 0.7124 0.0021  9 Fe 2.36-2.56, 1 Al 2.59
Fe: 0.4332 0.2897 0.0021  9 Fe 2.36-2.56, 1 Al 2.59
Fe: 0.9332 0.2124 0.0021  9 Fe 2.36-2.56, 1 Al 2.59
Fe: 0.5014 0.0014 0.0028  10 Fe 2.36-2.46, 2 Al 2.56
Fe: 0.7693 0.6218 0.8911  6 Fe 2.37-2.61, 3 Al 2.47-2.55
Fe: 0.6218 0.1218 0.8911  6 Fe 2.37-2.61, 3 Al 2.47-2.55
Fe: 0.1218 0.2693 0.8911  6 Fe 2.37-2.61, 3 Al 2.47-2.55
Fe: 0.2124 0.0689 0.0021  9 Fe 2.36-2.56, 1 Al 2.59
Fe: 0.8792 0.7385 0.1177  9 Fe 2.42-2.61
Fe: 0.2693 0.7693 0.8911  6 Fe 2.37-2.61, 3 Al 2.47-2.55
Fe: 0.7124 0.4332 0.0021  9 Fe 2.36-2.56, 1 Al 2.59
Fe: 0.7897 0.9332 0.0021  9 Fe 2.36-2.56, 1 Al 2.59
Fe: 0.0014 0.5014 0.0028  10 Fe 2.36-2.46, 2 Al 2.56
Fe: 0.3792 0.8792 0.1177  9 Fe 2.42-2.61
Fe: 0.2385 0.3792 0.1177  9 Fe 2.42-2.61
Fe: 0.7385 0.2385 0.1177  9 Fe 2.42-2.61
Fe: 0.9806 0.4806 0.1856  7 Fe 2.46-2.56
Pr: 0.6062 0.6062 0.2124  12 Fe 3.00-3.23, 1 Al 3.30
Pr: 0.0199 0.8489 0.3688  3 Fe 2.90-3.08
Pr: 0.3489 0.5199 0.3688  3 Fe 2.90-3.08
Pr: 0.5199 0.0199 0.3688  3 Fe 2.90-3.08
Pr: 0.1389 0.6389 0.6170  1 Fe 3.16, 5 Al 3.26-3.29, 1 Pr 3.42
Pr: 0.3948 0.3948 0.7897  8 Fe 3.02-3.16, 5 Al 3.19-3.36
Pr: 0.6389 0.4781 0.6170  1 Fe 3.16, 5 Al 3.26-3.29, 1 Pr 3.42
Pr: 0.1062 0.1062 0.2124  12 Fe 3.00-3.23, 1 Al 3.30
Pr: 0.8489 0.3489 0.3688  3 Fe 2.90-3.08
Pr: 0.8948 0.8948 0.7897  8 Fe 3.02-3.16, 5 Al 3.19-3.36
Pr: 0.9781 0.1389 0.6170  1 Fe 3.16, 5 Al 3.26-3.29, 1 Pr 3.42
Pr: 0.4781 0.9781 0.6170  1 Fe 3.16, 5 Al 3.26-3.29, 1 Pr 3.42
Al: 0.7880 0.2880 0.8139  6 Fe 2.47-2.59, 1 Al 2.68
Al: 0.0259 0.5259 0.8139  6 Fe 2.47-2.59, 1 Al 2.68
Al: 0.7493 0.7493 0.4986  10 Pr 3.26-3.36
Al: 0.5259 0.7880 0.8139  6 Fe 2.47-2.59, 1 Al 2.68
Al: 0.2493 0.2493 0.4986  10 Pr 3.26-3.36
Al: 0.2880 0.0259 0.8139  6 Fe 2.47-2.59, 1 Al 2.68

***

It is found that the calculated density values, taken in the order of the records, are 4.736, 6.823, 7.000 g cm⁻³.
It is found that the D(E_F) values, taken in the order of the records, are 0.611, 1.085, 1.147 states/eV per atom.
It is found that the size of the total moment values, taken in the order of the records, are 0.0, 3.6, 38.7 Bohr magnetons per cell.